Below is a relaxed Ho2VCrN5 crystal, with properties calculated at the PBE-GGA level.

## Properties
Calculated volume ... 11.66 Å³/atom
Final energy ... -8.816 eV/atom

Cell: 6.8387 6.8387 9.8196 Å, 90.00 90.00 152.80°
Last column: nearest neighbours and their distance in Å.
Fractional coordinates of all 18 atoms:
Ho 0.1127 0.8873 0.5000  6 N 2.34-2.50
Ho 0.1373 0.8627 0.1447  7 N 2.41-2.47
Ho 0.8627 0.1373 0.6447  7 N 2.41-2.47
Ho 0.8873 0.1127 0.0000  6 N 2.34-2.50
V 0.4419 0.5581 0.2689  4 N 1.76-1.85
V 0.5581 0.4419 0.7689  4 N 1.76-1.85
Cr 0.2131 0.7869 0.8637  3 N 1.86-1.98
Cr 0.7869 0.2131 0.3637  3 N 1.86-1.98
N 0.0454 0.9546 0.8613  2 V 1.85
N 0.2904 0.7096 0.4810  2 Cr 1.98
N 0.3135 0.6865 0.2092  1 V 1.80
N 0.3516 0.6484 0.8342  1 Cr 1.86
N 0.4954 0.5046 0.6107  1 V 1.76
N 0.5046 0.4954 0.1107  1 V 1.76
N 0.6484 0.3516 0.3342  1 Cr 1.86
N 0.6865 0.3135 0.7092  1 V 1.80
N 0.7096 0.2904 0.9810  2 Cr 1.98
N 0.9546 0.0454 0.3613  2 V 1.85